Entry 1:
The following is a PBE-GGA calculation of a geometry-optimized Nd3HgPd structure, from Alexandria.

Cell lengths 9.651, 7.764, 8.449 Å; angles 90.00, 110.53, 90.00 degrees
Space group P2_1/c (No. 14)
One atom of each set of equivalent atoms:
1 Nd 0.074 0.016 0.215 x4
2 Nd 0.311 0.158 0.611 x4
3 Nd 0.359 0.679 0.482 x4
4 Hg 0.085 0.668 0.057 x4
5 Pd 0.414 0.038 0.319 x4

Energy above the most stable polymorph in this dataset in eV/atom: 0.000

***

Entry 2:
The following is a PBE-GGA calculation of a geometry-optimized Nd3Hg3Pd2 structure, from Alexandria.

Cell lengths 7.7288, 7.7288, 3.8727 Å; angles 90.00, 90.00, 120.00 degrees
Space group P-62m (No. 189)
One atom of each set of equivalent atoms:
1 Nd 0.0000 0.4074 0.0000 x3
2 Hg 0.0000 0.7619 0.5000 x3
3 Pd 0.3333 0.6667 0.5000 x2

Energy above the most stable polymorph in this dataset in eV/atom: 0.000

***

Entry 3:
The following is a PBE-GGA calculation of a geometry-optimized NdHg3Pd2 structure, from Alexandria.

Cell lengths 16.399, 4.604, 7.707 Å; angles 90.00, 112.63, 90.00 degrees
Space group C2/m (No. 12)
One atom of each set of equivalent atoms:
1 Nd 0.117 0.000 0.198 x4
2 Hg 0.072 0.000 0.710 x4
3 Hg 0.126 0.500 0.530 x4
4 Hg 0.195 0.500 0.989 x4
5 Pd 0.010 0.500 0.836 x4
6 Pd 0.238 0.000 0.609 x4

***

Entry 4:
The following is a PBE-GGA calculation of a geometry-optimized NdHg2Pd9 structure, from Alexandria.

Cell lengths 4.111, 4.111, 12.301 Å; angles 90.00, 90.00, 90.00 degrees
Space group P4/mmm (No. 123)
One atom of each set of equivalent atoms:
1 Nd 0.000 0.000 0.000 x1
2 Hg 0.000 0.000 0.339 x2
3 Pd 0.000 0.500 0.175 x4
4 Pd 0.000 0.500 0.500 x2
5 Pd 0.500 0.500 0.000 x1
6 Pd 0.500 0.500 0.335 x2

Energy above the most stable polymorph in this dataset in eV/atom: 0.000

***

Entry 5:
The following is a PBE-GGA calculation of a geometry-optimized Nd2HgPd4 structure, from Alexandria.

Cell lengths 4.171, 4.171, 18.290 Å; angles 90.00, 90.00, 90.00 degrees
Space group I4/mmm (No. 139)
One atom of each set of equivalent atoms:
1 Nd 0.000 0.000 0.127 x4
2 Hg 0.000 0.000 0.500 x2
3 Pd 0.000 0.000 0.353 x4
4 Pd 0.000 0.500 0.250 x4

Energy above the most stable polymorph in this dataset in eV/atom: 0.000

***

Entry 6:
The following is a PBE-GGA calculation of a geometry-optimized Nd3Hg2Pd8 structure, from Alexandria.

Cell lengths 5.4302, 5.4302, 31.7487 Å; angles 90.00, 90.00, 120.00 degrees
Space group R-3m (No. 166, hexagonal axes)
One atom of each set of equivalent atoms:
1 Nd 0.0000 0.0000 0.0000 x3
2 Nd 0.0000 0.0000 0.1896 x6
3 Hg 0.0000 0.0000 0.3635 x6
4 Pd 0.0000 0.0000 0.2793 x6
5 Pd 0.0033 0.5017 0.7687 x18

***

Entry 7:
The following is a PBE-GGA calculation of a geometry-optimized Nd2HgPd3 structure, from Alexandria.

Cell lengths 4.6896, 4.6896, 14.3164 Å; angles 90.00, 90.00, 120.00 degrees
Space group P6_3/mmc (No. 194)
One atom of each set of equivalent atoms:
1 Nd 0.0000 0.0000 0.1202 x4
2 Hg 0.3333 0.6667 0.2500 x2
3 Pd 0.3333 0.6667 0.5119 x4
4 Pd 0.3333 0.6667 0.7500 x2

Energy above the most stable polymorph in this dataset in eV/atom: 0.004

***

Entry 8:
The following is a PBE-GGA calculation of a geometry-optimized Nd2HgPd4 structure, from Alexandria.

Cell lengths 5.034, 5.034, 14.452 Å; angles 90.00, 90.00, 90.00 degrees
Space group I4/mmm (No. 139)
One atom of each set of equivalent atoms:
1 Nd 0.000 0.000 0.129 x4
2 Hg 0.000 0.000 0.500 x2
3 Pd 0.000 0.000 0.313 x4
4 Pd 0.000 0.500 0.000 x4

Energy above the most stable polymorph in this dataset in eV/atom: 0.594

***

Entry 9:
The following is a PBE-GGA calculation of a geometry-optimized Nd3Hg2Pd7 structure, from Alexandria.

Cell lengths 4.219, 4.067, 15.110 Å; angles 90.00, 98.01, 90.00 degrees
Space group P2/m (No. 10)
One atom of each set of equivalent atoms:
1 Nd 0.000 0.000 0.000 x1
2 Nd 0.311 0.500 0.622 x2
3 Hg 0.133 0.000 0.264 x2
4 Pd 0.071 0.500 0.140 x2
5 Pd 0.223 0.000 0.446 x2
6 Pd 0.428 0.000 0.857 x2
7 Pd 0.500 0.500 0.000 x1

***

Entry 10:
The following is a PBE-GGA calculation of a geometry-optimized Nd2HgPd structure, from Alexandria.

Cell lengths 6.253, 4.818, 7.664 Å; angles 90.00, 112.09, 90.00 degrees
Space group P2_1/m (No. 11)
One atom of each set of equivalent atoms:
1 Nd 0.167 0.250 0.413 x2
2 Nd 0.277 0.750 0.075 x2
3 Hg 0.391 0.750 0.702 x2
4 Pd 0.143 0.250 0.798 x2

Energy above the most stable polymorph in this dataset in eV/atom: 0.000

***

Entry 11:
The following is a PBE-GGA calculation of a geometry-optimized Nd6Hg2Pd structure, from Alexandria.

Cell lengths 6.317, 8.292, 12.272 Å; angles 90.00, 119.77, 90.00 degrees
Space group P2_1/c (No. 14)
One atom of each set of equivalent atoms:
1 Nd 0.082 0.201 0.450 x4
2 Nd 0.307 0.656 0.450 x4
3 Nd 0.372 0.036 0.242 x4
4 Hg 0.139 0.114 0.734 x4
5 Pd 0.500 0.000 0.500 x2

Energy above the most stable polymorph in this dataset in eV/atom: 0.096

***

Entry 12:
The following is a PBE-GGA calculation of a geometry-optimized NdHg3Pd3 structure, from Alexandria.

Cell lengths 7.1466, 7.1466, 20.0753 Å; angles 90.00, 90.00, 120.00 degrees
Space group R-3 (No. 148, hexagonal axes)
One atom of each set of equivalent atoms:
1 Nd 0.0000 0.0000 0.1588 x6
2 Hg 0.0402 0.4327 0.3755 x18
3 Pd 0.0085 0.2362 0.5573 x18

Energy above the most stable polymorph in this dataset in eV/atom: 0.000

***

How do the records compare in E_form? In the order shown, they have -2.11; -5.20; -2.24; -3.73; -4.69; -6.23; -3.81; -0.54; -6.84; -2.45; -2.59; -2.65 eV/f.u..